Record 1
The following is a PBE calculation of a relaxed SrPd6 crystal, from Alexandria via LeMat-Bulk.

Unit cell a=8.763 b=5.424 c=10.833 alpha=90.00 beta=90.00 gamma=90.00
Space group Pnma (No. 62)
Inequivalent atoms, fractional coordinates:
Sr 0.243 0.250 0.060 [4 per cell]
Pd 0.065 0.005 0.304 [8 per cell]
Pd 0.066 0.750 0.083 [4 per cell]
Pd 0.105 0.250 0.518 [4 per cell]
Pd 0.154 0.750 0.844 [4 per cell]
Pd 0.181 0.250 0.765 [4 per cell]

Output
Energy above the lowest structure with this stoichiometry ... 0.000 eV/atom
Electronic total energy ... -4.933 eV per atom

=====

Record 2
The following is a PBE calculation of a relaxed SrPd2 crystal, from Alexandria via LeMat-Bulk.

Unit cell a=7.938 b=7.938 c=7.938 alpha=90.00 beta=90.00 gamma=90.00
Space group Fd-3m (No. 227, origin choice 2)
Inequivalent atoms, fractional coordinates:
Sr 0.125 0.125 0.125 [8 per cell]
Pd 0.000 0.000 0.500 [16 per cell]

Output
Electronic total energy ... -4.660 eV per atom

=====

Record 3
The following is a PBE calculation of a relaxed SrPd12 crystal, from Alexandria via LeMat-Bulk.

Unit cell a=9.185 b=9.185 c=5.293 alpha=90.00 beta=90.00 gamma=90.00
Space group I4/mmm (No. 139)
Inequivalent atoms, fractional coordinates:
Sr 0.000 0.000 0.000 [2 per cell]
Pd 0.000 0.223 0.500 [8 per cell]
Pd 0.000 0.354 0.000 [8 per cell]
Pd 0.250 0.250 0.250 [8 per cell]

Output
Electronic total energy ... -5.052 eV per atom

=====

Quick rundown of DOS at the Fermi energy, same order as above: 11.9; 1.2; 22.0 states/eV/f.u.